(1)
This record from the Alexandria database describes crystalline Ca6Cd2Rh at its relaxed geometry. The functional is PBE.

Values from the calculation:
- V: 1113 Å³ per cell
- Formation energy: -0.192 eV per atom
- E_tot: -91.7 eV per cell

a = 10.063 Å, b = 10.509 Å, c = 10.527 Å
α = 90.00°, β = 90.00°, γ = 90.00°
Space group Immm (No. 71)
Unique sites:
Ca 0.000 0.164 0.234 (multiplicity 8)
Ca 0.166 0.500 0.232 (multiplicity 8)
Ca 0.220 0.313 0.500 (multiplicity 8)
Cd 0.000 0.356 0.000 (multiplicity 4)
Cd 0.139 0.000 0.500 (multiplicity 4)
Rh 0.000 0.000 0.000 (multiplicity 2)
Rh 0.000 0.500 0.500 (multiplicity 2)

(2)
This record from the Alexandria database describes crystalline Ca4CdRh2 at its relaxed geometry. The functional is PBE.

Values from the calculation:
- V: 712 Å³ per cell
- Energy above the most stable polymorph in this dataset: 0.0465 eV/atom
- Formation energy: -0.253 eV per atom
- E_tot: -101.6 eV per cell

a = 5.201 Å, b = 9.011 Å, c = 15.188 Å
α = 90.00°, β = 90.00°, γ = 90.00°
Space group Cmcm (No. 63)
Unique sites:
Ca 0.000 0.000 0.000 (multiplicity 4)
Ca 0.000 0.333 0.117 (multiplicity 8)
Ca 0.000 0.334 0.750 (multiplicity 4)
Cd 0.000 0.001 0.750 (multiplicity 4)
Rh 0.000 0.334 0.564 (multiplicity 8)

(3)
This record from the Alexandria database describes crystalline CaCdRh2 at its relaxed geometry. The functional is PBE.

Values from the calculation:
- V: 222 Å³ per cell
- Formation energy: 0.046 eV per atom
- E_tot: -52.3 eV per cell

a = 3.1217 Å, b = 3.1217 Å, c = 26.2543 Å
α = 90.00°, β = 90.00°, γ = 120.00°
Space group R-3m (No. 166, hexagonal axes)
Unique sites:
Ca 0.0000 0.0000 0.0000 (multiplicity 3)
Cd 0.0000 0.0000 0.5000 (multiplicity 3)
Rh 0.0000 0.0000 0.2482 (multiplicity 6)

(4)
This record from the Alexandria database describes crystalline CaCdRh at its relaxed geometry. The functional is PBE.

Values from the calculation:
- V: 530 Å³ per cell
- Formation energy: -0.333 eV per atom
- E_tot: -90.1 eV per cell

a = 6.120 Å, b = 9.270 Å, c = 9.335 Å
α = 90.00°, β = 90.00°, γ = 90.00°
Space group Fmmm (No. 69)
Unique sites:
Ca 0.000 0.183 0.000 (multiplicity 8)
Cd 0.000 0.000 0.315 (multiplicity 8)
Rh 0.250 0.250 0.250 (multiplicity 8)

(5)
This record from the Alexandria database describes crystalline CaCdRh2 at its relaxed geometry. The functional is PBE.

Values from the calculation:
- V: 353 Å³ per cell
- Formation energy: 0.157 eV per atom
- E_tot: -68.0 eV per cell

a = 4.320 Å, b = 4.320 Å, c = 18.937 Å
α = 90.00°, β = 90.00°, γ = 90.00°
Space group I-42d (No. 122)
Unique sites:
Ca 0.000 0.000 0.000 (multiplicity 4)
Cd 0.000 0.000 0.500 (multiplicity 4)
Rh 0.152 0.250 0.625 (multiplicity 8)

(6)
This record from the Alexandria database describes crystalline Ca2CdRh at its relaxed geometry. The functional is PBE.

Values from the calculation:
- V: 103 Å³ per cell
- Formation energy: -0.203 eV per atom
- E_tot: -13.1 eV per cell

a = 3.530 Å, b = 3.530 Å, c = 8.299 Å
α = 90.00°, β = 90.00°, γ = 90.00°
Space group P4mm (No. 99)
Unique sites:
Ca 0.000 0.000 0.000 (multiplicity 1)
Ca 0.500 0.500 0.383 (multiplicity 1)
Cd 0.000 0.000 0.630 (multiplicity 1)
Rh 0.500 0.500 0.795 (multiplicity 1)

(7)
This record from the Alexandria database describes crystalline CaCdRh at its relaxed geometry. The functional is PBE.

Values from the calculation:
- V: 299 Å³ per cell
- Formation energy: 0.343 eV per atom
- E_tot: -37.0 eV per cell

a = 6.684 Å, b = 6.684 Å, c = 6.684 Å
α = 90.00°, β = 90.00°, γ = 90.00°
Space group F-43m (No. 216)
Unique sites:
Ca 0.000 0.000 0.000 (multiplicity 4)
Cd 0.250 0.250 0.250 (multiplicity 4)
Rh 0.250 0.250 0.750 (multiplicity 4)

(8)
This record from the Alexandria database describes crystalline CaCdRh2 at its relaxed geometry. The functional is PBE.

Values from the calculation:
- V: 74 Å³ per cell
- Formation energy: -0.153 eV per atom
- E_tot: -18.2 eV per cell

a = 3.355 Å, b = 3.355 Å, c = 6.558 Å
α = 90.00°, β = 90.00°, γ = 90.00°
Space group P4/mmm (No. 123)
Unique sites:
Ca 0.000 0.000 0.000 (multiplicity 1)
Cd 0.000 0.000 0.500 (multiplicity 1)
Rh 0.500 0.500 0.272 (multiplicity 2)